A plane-wave DFT calculation with GGA-PBE was carried out for Hg2OsBr after structural relaxation.

Values from the calculation:
The electronic total energy comes out at -2.2309 eV per atom. Its uncorrected formation energy is 1.146 eV/atom.

abc: 4.2633 4.2633 9.1234
angles: 90.00 90.00 90.00
Space group I-4m2 (No. 119)
Symmetry-distinct sites (fractional):
1 Hg 0.0000 0.0000 0.0000 [2 per cell]
2 Hg 0.0000 0.5000 0.2500 [2 per cell]
3 Os 0.0000 0.5000 0.7500 [2 per cell]
4 Br 0.0000 0.0000 0.5000 [2 per cell]

***

A plane-wave DFT calculation with GGA-PBE was carried out for Y2Zn2Bi after structural relaxation.

Values from the calculation:
The electronic total energy comes out at -4.1478 eV per atom. The value obtained for the formation enthalpy at 0 K is -0.276 eV per atom.

abc: 3.8151 3.8151 17.6086
angles: 90.00 90.00 90.00
Space group I4/mmm (No. 139)
Symmetry-distinct sites (fractional):
1 Y 0.0000 0.0000 0.1096 [4 per cell]
2 Zn 0.0000 0.5000 0.2500 [4 per cell]
3 Bi 0.0000 0.0000 0.5000 [2 per cell]

***

A plane-wave DFT calculation with GGA-PBE was carried out for Tl4GeSe6 after structural relaxation.

Values from the calculation:
The electronic total energy comes out at -3.4730 eV per atom. Its uncorrected formation energy is -0.292 eV/atom.

abc: 12.8048 9.3958 13.2829
angles: 90.00 108.21 90.00
Space group Cc (No. 9)
Symmetry-distinct sites (fractional):
1 Tl 0.0000 0.0646 0.0000 [4 per cell]
2 Tl 0.1596 0.4160 0.5278 [4 per cell]
3 Tl 0.1912 0.0696 0.8118 [4 per cell]
4 Tl 0.3506 0.2269 0.1836 [4 per cell]
5 Ge 0.4485 0.2775 0.7607 [4 per cell]
6 Se 0.0595 0.1671 0.6224 [4 per cell]
7 Se 0.1456 0.2161 0.3220 [4 per cell]
8 Se 0.1498 0.2335 0.9586 [4 per cell]
9 Se 0.3527 0.4703 0.8103 [4 per cell]
10 Se 0.3820 0.2403 0.5733 [4 per cell]
11 Se 0.4119 0.0596 0.8381 [4 per cell]

***

Question: Among the records above, which one has the highest electronic total energy?
Answer: Hg2OsBr

***

Repeat the third record exactly.
A plane-wave DFT calculation with GGA-PBE was carried out for Tl4GeSe6 after structural relaxation.

Values from the calculation:
The electronic total energy comes out at -3.4730 eV per atom. Its uncorrected formation energy is -0.292 eV/atom.

abc: 12.8048 9.3958 13.2829
angles: 90.00 108.21 90.00
Space group Cc (No. 9)
Symmetry-distinct sites (fractional):
1 Tl 0.0000 0.0646 0.0000 [4 per cell]
2 Tl 0.1596 0.4160 0.5278 [4 per cell]
3 Tl 0.1912 0.0696 0.8118 [4 per cell]
4 Tl 0.3506 0.2269 0.1836 [4 per cell]
5 Ge 0.4485 0.2775 0.7607 [4 per cell]
6 Se 0.0595 0.1671 0.6224 [4 per cell]
7 Se 0.1456 0.2161 0.3220 [4 per cell]
8 Se 0.1498 0.2335 0.9586 [4 per cell]
9 Se 0.3527 0.4703 0.8103 [4 per cell]
10 Se 0.3820 0.2403 0.5733 [4 per cell]
11 Se 0.4119 0.0596 0.8381 [4 per cell]